No. 1
YTc2Os after structural relaxation. Source: Alexandria, functional PBE.

Output
- excess energy over the best structure of this formula in the dataset (meV per atom) = 375.2
- V (Å³ per atom) = 16.8
- uncorrected energy (eV/atom) = -9.24

Structure (POSCAR):
```
YTc2Os
1.0
5.312 -0.001 -0.002
-2.385 4.734 0.002
0.542 0.820 2.664
Os Tc Y
1 2 1
Cartesian
1.463 2.367 0.000
0.000 0.000 0.000
2.927 0.410 1.331
-0.922 2.777 1.333
```

No. 2
CsPmTl2 after structural relaxation. Source: Alexandria, functional PBE.

Output
- excess energy over the best structure of this formula in the dataset (meV per atom) = 0.0
- V (Å³ per atom) = 37.4
- uncorrected energy (eV/atom) = -2.77

Structure (POSCAR):
```
CsPmTl2
1.0
-1.513 -2.712 2.553
-0.189 -2.696 -2.976
8.560 -2.854 2.043
Cs Tl Pm
1 2 1
Cartesian
3.429 -4.131 0.810
6.937 -2.313 1.655
1.623 -0.541 0.387
-0.851 -2.704 -0.211
```

No. 3
In2P after structural relaxation. Source: Alexandria, functional PBE.

Output
- excess energy over the best structure of this formula in the dataset (meV per atom) = 131.1
- V (Å³ per atom) = 25.4
- uncorrected energy (eV/atom) = -3.53

Structure (POSCAR):
```
In2P
1.0
-1.182 -5.562 3.599
5.399 1.310 3.798
-3.839 3.555 4.232
P In
4 8
Cartesian
0.000 0.000 0.000
2.108 -2.126 3.698
-2.511 -1.003 3.915
0.780 2.432 4.015
1.198 -1.327 6.211
-0.821 0.630 5.417
2.173 2.671 6.419
-1.796 -3.368 5.209
-0.247 -1.474 2.355
0.625 0.776 9.273
-2.369 -1.265 8.272
2.747 0.567 3.357
```

No. 4
Tm3Ni4 after structural relaxation. Source: Alexandria, functional PBE.

Output
- V (Å³ per atom) = 17.7
- uncorrected energy (eV/atom) = -5.71

Structure (POSCAR):
```
Tm3Ni4
1.0
4.013 0.000 0.000
-2.006 4.809 0.000
0.000 0.000 12.834
Tm Ni
6 8
Cartesian
2.006 2.017 1.312
0.000 2.814 11.531
2.006 2.016 5.114
0.000 2.814 7.728
2.006 4.734 3.213
0.000 0.097 9.630
0.000 2.733 3.213
2.006 2.099 9.630
0.000 4.072 1.142
0.000 0.013 0.005
0.000 4.072 5.284
2.006 0.758 11.701
0.000 0.014 6.419
2.006 0.758 7.559
```

No. 5
Tb2U3S8 after structural relaxation. Source: Alexandria, functional PBE.

Output
- uncorrected formation energy (meV per atom) = -1577
- V (Å³ per atom) = 26.3
- uncorrected energy (eV/atom) = -7.43

Structure (POSCAR):
```
Tb2U3S8
1.0
-5.026 0.233 -4.252
-5.069 -0.040 5.990
4.456 6.550 -1.326
Tb U S
2 3 8
Cartesian
-0.695 3.487 -0.565
-4.945 3.255 0.977
-2.513 0.117 -2.126
-1.310 -0.010 1.548
-3.759 -0.030 4.442
-6.650 1.687 -0.477
1.010 5.056 0.889
-4.201 1.752 -3.544
-1.439 4.991 3.956
-2.845 5.013 0.354
-0.154 5.035 -2.825
-5.486 1.708 3.237
-2.796 1.729 0.058
```

No. 6
BaCd4Au12 after structural relaxation. Source: Alexandria, functional PBE.

Output
- V (Å³ per atom) = 24.7
- uncorrected energy (eV/atom) = -2.57

Structure (POSCAR):
```
BaCd4Au12
1.0
8.168 0.000 0.000
-2.723 7.701 0.000
-2.723 -3.850 6.669
Ba Cd Au
1 4 12
Cartesian
0.000 0.000 0.000
-1.361 3.850 0.000
4.084 0.000 0.000
1.361 1.925 3.335
-1.361 -1.925 3.335
5.447 1.924 1.391
1.136 3.288 0.971
4.309 -1.366 4.307
-0.001 -1.684 5.698
-1.587 5.216 2.362
1.587 0.563 5.698
2.721 -0.243 2.362
0.001 4.093 4.307
2.724 5.534 0.971
3.858 3.047 3.336
-1.136 0.803 3.333
-2.724 1.926 5.278
```

For the records above, the corresponding magnetization values read 0.000, 0.002, 0.000, 0.000, 8.003, 0.000 Bohr magnetons per cell.